1.
# Rb2SnAuI6, relaxed, DFT PBE
data_Rb2SnAuI6
_chemical_formula_sum 'Rb4 Sn2 Au2 I12'
_space_group_name_H-M_alt 'P 1'
_space_group_IT_number 1
_space_group_name_Hall 'P 1'
_cell_length_a 8.2957
_cell_length_b 8.4394
_cell_length_c 12.0285
_cell_angle_alpha 90.00
_cell_angle_beta 89.73
_cell_angle_gamma 90.00
loop_
_atom_site_label
_atom_site_type_symbol
_atom_site_fract_x
_atom_site_fract_y
_atom_site_fract_z
Sn1 Sn 0.0000 0.5000 0.0000
Sn2 Sn 0.5000 0.0000 0.5000
I1 I 0.0564 0.4978 0.7483
I2 I 0.7189 0.2911 0.5277
I3 I 0.2091 0.2196 0.4706
I4 I 0.7909 0.7804 0.5294
I5 I 0.7091 0.2804 0.9706
I6 I 0.2909 0.7196 0.0294
I7 I 0.7811 0.7911 0.9723
I8 I 0.5564 0.0022 0.2483
I9 I 0.4436 0.9978 0.7517
I10 I 0.2811 0.7089 0.4723
I11 I 0.9436 0.5022 0.2517
I12 I 0.2189 0.2089 0.0277
Rb1 Rb 0.5158 0.5509 0.7513
Rb2 Rb 0.0158 0.9491 0.2513
Rb3 Rb 0.4842 0.4491 0.2487
Rb4 Rb 0.9842 0.0509 0.7487
Au1 Au 0.0000 0.5000 0.5000
Au2 Au 0.5000 0.0000 0.0000
# Formation energy (no corrections): -0.75 eV/atom
# Excess energy over the best structure of this formula in the dataset: 0.0 kJ/mol of atoms
# Total energy: -51.99 eV/cell


2.
# Rb2SrAu2I6, relaxed, DFT PBE
data_Rb2SrAu2I6
_chemical_formula_sum 'Rb2 Sr1 Au2 I6'
_space_group_name_H-M_alt 'P 1'
_space_group_IT_number 1
_space_group_name_Hall 'P 1'
_cell_length_a 8.8247
_cell_length_b 8.8296
_cell_length_c 8.8427
_cell_angle_alpha 117.38
_cell_angle_beta 90.00
_cell_angle_gamma 119.98
loop_
_atom_site_label
_atom_site_type_symbol
_atom_site_fract_x
_atom_site_fract_y
_atom_site_fract_z
I1 I 0.8112 0.1339 0.8244
I2 I 0.3227 0.1339 0.8244
I3 I 0.2538 0.5076 0.3661
I4 I 0.6773 0.8661 0.1756
I5 I 0.1888 0.8661 0.1756
I6 I 0.7462 0.4924 0.6339
Au1 Au 0.9563 0.9126 0.7979
Au2 Au 0.0437 0.0874 0.2021
Rb1 Rb 0.2512 0.5023 0.7791
Rb2 Rb 0.7488 0.4977 0.2209
Sr1 Sr 0.5000 0.0000 0.5000
# Formation energy (no corrections): -0.96 eV/atom
# Total energy: -30.09 eV/cell


3.
# Rb2SrAuI6, relaxed, DFT PBE
data_Rb2SrAuI6
_chemical_formula_sum 'Rb2 Sr1 Au1 I6'
_space_group_name_H-M_alt 'P 1'
_space_group_IT_number 1
_space_group_name_Hall 'P 1'
_cell_length_a 8.8871
_cell_length_b 8.8871
_cell_length_c 8.6654
_cell_angle_alpha 59.15
_cell_angle_beta 59.15
_cell_angle_gamma 90.00
loop_
_atom_site_label
_atom_site_type_symbol
_atom_site_fract_x
_atom_site_fract_y
_atom_site_fract_z
I1 I 0.7553 0.2447 0.0000
I2 I 0.7553 0.7553 0.0000
I3 I 0.2284 0.2284 0.5432
I4 I 0.7716 0.7716 0.4568
I5 I 0.2447 0.7553 0.0000
I6 I 0.2447 0.2447 0.0000
Au1 Au 0.0000 0.0000 0.0000
Rb1 Rb 0.2500 0.7500 0.5000
Rb2 Rb 0.7500 0.2500 0.5000
Sr1 Sr 0.5000 0.5000 0.0000
# Formation energy (no corrections): -1.00 eV/atom
# Total energy: -26.15 eV/cell


4.
# Rb2TaAuI6, relaxed, DFT PBE
data_Rb2TaAuI6
_chemical_formula_sum 'Rb2 Ta1 Au1 I6'
_space_group_name_H-M_alt 'P 1'
_space_group_IT_number 1
_space_group_name_Hall 'P 1'
_cell_length_a 8.6598
_cell_length_b 8.6598
_cell_length_c 8.3339
_cell_angle_alpha 58.70
_cell_angle_beta 58.70
_cell_angle_gamma 90.00
loop_
_atom_site_label
_atom_site_type_symbol
_atom_site_fract_x
_atom_site_fract_y
_atom_site_fract_z
Au1 Au 0.0000 0.0000 0.0000
Rb1 Rb 0.7500 0.2500 0.5000
Rb2 Rb 0.2500 0.7500 0.5000
I1 I 0.7550 0.7550 0.4900
I2 I 0.7305 0.2695 0.0000
I3 I 0.2695 0.2695 0.0000
I4 I 0.2450 0.2450 0.5100
I5 I 0.7305 0.7305 0.0000
I6 I 0.2695 0.7305 0.0000
Ta1 Ta 0.5000 0.5000 0.0000
# Formation energy (no corrections): -0.59 eV/atom
# Total energy: -32.25 eV/cell


5.
# RbTcAuI6, relaxed, DFT PBE
data_RbTcAuI6
_chemical_formula_sum 'Rb1 Tc1 Au1 I6'
_space_group_name_H-M_alt 'P 1'
_space_group_IT_number 1
_space_group_name_Hall 'P 1'
_cell_length_a 7.9238
_cell_length_b 8.5551
_cell_length_c 7.6345
_cell_angle_alpha 94.57
_cell_angle_beta 78.42
_cell_angle_gamma 56.27
loop_
_atom_site_label
_atom_site_type_symbol
_atom_site_fract_x
_atom_site_fract_y
_atom_site_fract_z
I1 I 0.6794 0.1899 0.6077
I2 I 0.9938 0.4466 0.3378
I3 I 0.2516 0.0908 0.6669
I4 I 0.5502 0.0370 0.1702
I5 I 0.0685 0.6200 0.7820
I6 I 0.4328 0.5426 0.2985
Tc1 Tc 0.3421 0.3310 0.4834
Rb1 Rb 0.0616 0.9838 0.1368
Au1 Au 0.6197 0.7583 0.5166
# Formation energy (no corrections): -0.35 eV/atom
# Total energy: -27.06 eV/cell


6.
# Rb2TeAuI, relaxed, DFT PBE
data_Rb2TeAuI
_chemical_formula_sum 'Rb2 Te1 Au1 I1'
_space_group_name_H-M_alt 'P 1'
_space_group_IT_number 1
_space_group_name_Hall 'P 1'
_cell_length_a 7.0527
_cell_length_b 7.0527
_cell_length_c 5.1536
_cell_angle_alpha 90.00
_cell_angle_beta 90.00
_cell_angle_gamma 90.00
loop_
_atom_site_label
_atom_site_type_symbol
_atom_site_fract_x
_atom_site_fract_y
_atom_site_fract_z
Rb1 Rb 0.5000 0.0000 0.0000
Rb2 Rb 0.0000 0.5000 0.0000
Au1 Au 0.0000 0.0000 0.5000
Te1 Te 0.0000 0.0000 0.0000
I1 I 0.5000 0.5000 0.5000
# Formation energy (no corrections): -0.77 eV/atom
# Total energy: -13.77 eV/cell


7.
# RbTe2AuI, relaxed, DFT PBE
data_RbTe2AuI
_chemical_formula_sum 'Rb1 Te2 Au1 I1'
_space_group_name_H-M_alt 'P 1'
_space_group_IT_number 1
_space_group_name_Hall 'P 1'
_cell_length_a 5.5573
_cell_length_b 5.5573
_cell_length_c 6.0017
_cell_angle_alpha 90.00
_cell_angle_beta 90.00
_cell_angle_gamma 90.00
loop_
_atom_site_label
_atom_site_type_symbol
_atom_site_fract_x
_atom_site_fract_y
_atom_site_fract_z
Au1 Au 0.0000 0.0000 0.0000
Te1 Te 0.5000 0.0000 0.0000
Te2 Te 0.0000 0.5000 0.0000
Rb1 Rb 0.5000 0.5000 0.5000
I1 I 0.0000 0.0000 0.5000
# Formation energy (no corrections): -0.23 eV/atom
# Excess energy over the best structure of this formula in the dataset: 0.0 kJ/mol of atoms
# Total energy: -13.24 eV/cell


8.
# RbTe2AuI, relaxed, DFT PBE
data_RbTe2AuI
_chemical_formula_sum 'Rb1 Te2 Au1 I1'
_space_group_name_H-M_alt 'P 1'
_space_group_IT_number 1
_space_group_name_Hall 'P 1'
_cell_length_a 6.9311
_cell_length_b 6.9311
_cell_length_c 6.6969
_cell_angle_alpha 90.00
_cell_angle_beta 90.00
_cell_angle_gamma 90.00
loop_
_atom_site_label
_atom_site_type_symbol
_atom_site_fract_x
_atom_site_fract_y
_atom_site_fract_z
Te1 Te 0.0000 0.5000 0.0000
Te2 Te 0.5000 0.0000 0.0000
Au1 Au 0.5000 0.5000 0.5000
I1 I 0.0000 0.0000 0.5000
Rb1 Rb 0.0000 0.0000 0.0000
# Formation energy (no corrections): 0.91 eV/atom
# Excess energy over the best structure of this formula in the dataset: 110.7 kJ/mol of atoms
# Total energy: -7.50 eV/cell


9.
# Rb2TlAu2I6, relaxed, DFT PBE
data_Rb2TlAu2I6
_chemical_formula_sum 'Rb2 Tl1 Au2 I6'
_space_group_name_H-M_alt 'P 1'
_space_group_IT_number 1
_space_group_name_Hall 'P 1'
_cell_length_a 7.8343
_cell_length_b 8.5445
_cell_length_c 9.9338
_cell_angle_alpha 114.18
_cell_angle_beta 90.00
_cell_angle_gamma 117.29
loop_
_atom_site_label
_atom_site_type_symbol
_atom_site_fract_x
_atom_site_fract_y
_atom_site_fract_z
I1 I 0.8168 0.1608 0.8351
I2 I 0.2461 0.4922 0.3812
I3 I 0.6560 0.8392 0.1649
I4 I 0.1832 0.8392 0.1649
I5 I 0.3440 0.1608 0.8351
I6 I 0.7539 0.5078 0.6188
Au1 Au 0.9506 0.9012 0.7564
Au2 Au 0.0494 0.0988 0.2436
Rb1 Rb 0.7142 0.4284 0.2173
Rb2 Rb 0.2858 0.5716 0.7827
Tl1 Tl 0.5000 0.0000 0.5000
# Formation energy (no corrections): -0.63 eV/atom
# Total energy: -27.11 eV/cell


10.
# Rb2TlAuI6, relaxed, DFT PBE
data_Rb2TlAuI6
_chemical_formula_sum 'Rb4 Tl2 Au2 I12'
_space_group_name_H-M_alt 'P 1'
_space_group_IT_number 1
_space_group_name_Hall 'P 1'
_cell_length_a 8.7699
_cell_length_b 7.6596
_cell_length_c 14.7181
_cell_angle_alpha 90.00
_cell_angle_beta 76.21
_cell_angle_gamma 90.00
loop_
_atom_site_label
_atom_site_type_symbol
_atom_site_fract_x
_atom_site_fract_y
_atom_site_fract_z
Rb1 Rb 0.9902 0.9228 0.2762
Rb2 Rb 0.4902 0.5772 0.7762
Rb3 Rb 0.5098 0.4228 0.2238
Rb4 Rb 0.0098 0.0772 0.7238
I1 I 0.4235 0.0634 0.7355
I2 I 0.2522 0.6948 0.4115
I3 I 0.7522 0.8052 0.9115
I4 I 0.2478 0.1948 0.0885
I5 I 0.0765 0.5634 0.7645
I6 I 0.3293 0.7103 0.0492
I7 I 0.7478 0.3052 0.5885
I8 I 0.8293 0.7897 0.5492
I9 I 0.9235 0.4366 0.2355
I10 I 0.6707 0.2897 0.9508
I11 I 0.1707 0.2103 0.4508
I12 I 0.5765 0.9366 0.2645
Au1 Au 0.0000 0.5000 0.5000
Au2 Au 0.5000 0.0000 0.0000
Tl1 Tl 0.5000 0.0000 0.5000
Tl2 Tl 0.0000 0.5000 0.0000
# Formation energy (no corrections): -0.73 eV/atom
# Excess energy over the best structure of this formula in the dataset: 0.0 kJ/mol of atoms
# Total energy: -48.35 eV/cell


11.
# Rb2TlAuI6, relaxed, DFT PBE
data_Rb2TlAuI6
_chemical_formula_sum 'Rb2 Tl1 Au1 I6'
_space_group_name_H-M_alt 'P 1'
_space_group_IT_number 1
_space_group_name_Hall 'P 1'
_cell_length_a 8.5270
_cell_length_b 8.5270
_cell_length_c 8.5270
_cell_angle_alpha 60.00
_cell_angle_beta 60.00
_cell_angle_gamma 60.00
loop_
_atom_site_label
_atom_site_type_symbol
_atom_site_fract_x
_atom_site_fract_y
_atom_site_fract_z
I1 I 0.2600 0.2600 0.7400
I2 I 0.2600 0.7400 0.2600
I3 I 0.7400 0.7400 0.2600
I4 I 0.7400 0.2600 0.2600
I5 I 0.2600 0.7400 0.7400
I6 I 0.7400 0.2600 0.7400
Tl1 Tl 0.0000 0.0000 0.0000
Rb1 Rb 0.7500 0.7500 0.7500
Rb2 Rb 0.2500 0.2500 0.2500
Au1 Au 0.5000 0.5000 0.5000
# Formation energy (no corrections): -0.69 eV/atom
# Excess energy over the best structure of this formula in the dataset: 3.4 kJ/mol of atoms
# Total energy: -23.82 eV/cell


12.
# RbTlAu2I8, relaxed, DFT PBE
data_RbTlAu2I8
_chemical_formula_sum 'Rb1 Tl1 Au2 I8'
_space_group_name_H-M_alt 'P 1'
_space_group_IT_number 1
_space_group_name_Hall 'P 1'
_cell_length_a 8.4640
_cell_length_b 8.4640
_cell_length_c 9.5964
_cell_angle_alpha 116.17
_cell_angle_beta 116.17
_cell_angle_gamma 90.00
loop_
_atom_site_label
_atom_site_type_symbol
_atom_site_fract_x
_atom_site_fract_y
_atom_site_fract_z
I1 I 0.7987 0.4228 0.9762
I2 I 0.1775 0.5535 0.9762
I3 I 0.5772 0.8225 0.0238
I4 I 0.5789 0.7105 0.5344
I5 I 0.9555 0.8239 0.5344
I6 I 0.4465 0.2013 0.0238
I7 I 0.1761 0.4211 0.4656
I8 I 0.2895 0.0445 0.4656
Au1 Au 0.5000 0.5000 0.0000
Au2 Au 0.2500 0.7500 0.5000
Rb1 Rb 0.7500 0.2500 0.5000
Tl1 Tl 0.0000 0.0000 0.0000
# Formation energy (no corrections): -0.35 eV/atom
# Total energy: -26.53 eV/cell